Computed, not measured: crystalline HoCr4Cu3O12 at its relaxed geometry at the PBE+U level of DFT.

Values from the calculation:
Theoretical density = 6.22 Mg/m³
Electronic total energy = -6.935 eV/atom
Total magnetic moment = 0.601 μB/atom

Lattice parameters (Å, degrees): 7.3906 7.3906 7.3906 90.00 90.00 90.00
Space group Im-3 (No. 204)
Symmetry-distinct sites (fractional):
Ho  0.0000  0.0000  0.0000
Cr  0.2500  0.2500  0.2500
Cu  0.0000  0.0000  0.5000
O  0.0000  0.1658  0.3059